No. 1
A plane-wave DFT calculation with PBE was carried out for Li2TcIr2 after structural relaxation.

* spin magnetization: 0.0 μB/f.u.
* density of states at the Fermi level: 4.3 states/eV/f.u.
* DFT total energy: -5.427 eV/atom

Lattice parameters (Å, degrees): 4.6663 4.6663 4.8203 90.00 90.00 90.00
Last column: nearest neighbours and their distance in Å.
Element x y z (fractional)
Li1 0.0000 0.0000 0.0000  2 Tc 2.41
Li2 0.5000 0.5000 0.0000  4 Li 3.30, 8 Ir 3.35
Tc1 0.0000 0.0000 0.5000  4 Ir 2.33, 2 Li 2.41
Ir1 0.0000 0.5000 0.5000  2 Tc 2.33
Ir2 0.5000 0.0000 0.5000  2 Tc 2.33

No. 2
A plane-wave DFT calculation with PBE was carried out for LiTc2Ir after structural relaxation.

* spin magnetization: 0.0 μB/f.u.
* density of states at the Fermi level: 3.2 states/eV/f.u.
* DFT total energy: -7.801 eV/atom

Lattice parameters (Å, degrees): 9.2433 2.7133 4.5608 90.00 99.13 90.00
Last column: nearest neighbours and their distance in Å.
Element x y z (fractional)
Li1 0.0000 0.0000 0.0000  6 Tc 2.64-2.86, 4 Ir 2.65, 2 Li 2.71
Li2 0.5000 0.5000 0.0000  6 Tc 2.64-2.86, 4 Ir 2.65, 2 Li 2.71
Tc1 0.2374 0.0000 0.7460  3 Li 2.64-2.86, 6 Tc 2.66-2.71, 3 Ir 2.67-2.83
Tc2 0.2626 0.5000 0.2540  3 Li 2.64-2.86, 6 Tc 2.66-2.71, 3 Ir 2.67-2.83
Tc3 0.7374 0.5000 0.7460  3 Li 2.64-2.86, 6 Tc 2.66-2.71, 3 Ir 2.67-2.83
Tc4 0.7626 0.0000 0.2540  3 Li 2.64-2.86, 6 Tc 2.66-2.71, 3 Ir 2.67-2.83
Ir1 0.0000 0.5000 0.5000  4 Li 2.65, 6 Tc 2.67-2.83, 2 Ir 2.71
Ir2 0.5000 0.0000 0.5000  4 Li 2.65, 6 Tc 2.67-2.83, 2 Ir 2.71

No. 3
A plane-wave DFT calculation with PBE was carried out for LiTc2Ir after structural relaxation.

* spin magnetization: 0.0 μB/f.u.
* density of states at the Fermi level: 3.5 states/eV/f.u.
* DFT total energy: -7.274 eV/atom

Lattice parameters (Å, degrees): 7.2273 7.2273 4.9057 90.00 90.00 90.00
Last column: nearest neighbours and their distance in Å.
Element x y z (fractional)
Li1 0.0000 0.0000 0.0000  2 Ir 2.45
Li2 0.0000 0.5000 0.2500  2 Ir 2.45
Li3 0.5000 0.0000 0.7500  2 Ir 2.45
Li4 0.5000 0.5000 0.5000  2 Ir 2.45
Tc1 0.2168 0.2500 0.6250  2 Ir 2.47, 2 Tc 2.50
Tc2 0.2500 0.7168 0.8750  2 Ir 2.47, 2 Tc 2.50
Tc3 0.2500 0.7832 0.3750  2 Ir 2.47, 2 Tc 2.50
Tc4 0.2832 0.2500 0.1250  2 Ir 2.47, 2 Tc 2.50
Tc5 0.7168 0.7500 0.1250  2 Ir 2.47, 2 Tc 2.50
Tc6 0.7500 0.2168 0.3750  2 Ir 2.47, 2 Tc 2.50
Tc7 0.7500 0.2832 0.8750  2 Ir 2.47, 2 Tc 2.50
Tc8 0.7832 0.7500 0.6250  2 Ir 2.47, 2 Tc 2.50
Ir1 0.0000 0.0000 0.5000  2 Li 2.45, 4 Tc 2.47
Ir2 0.0000 0.5000 0.7500  2 Li 2.45, 4 Tc 2.47
Ir3 0.5000 0.0000 0.2500  2 Li 2.45, 4 Tc 2.47
Ir4 0.5000 0.5000 0.0000  2 Li 2.45, 4 Tc 2.47

No. 4
A plane-wave DFT calculation with PBE was carried out for LiTc2Ir after structural relaxation.

* spin magnetization: 0.0 μB/f.u.
* density of states at the Fermi level: 3.0 states/eV/f.u.
* DFT total energy: -7.794 eV/atom

Lattice parameters (Å, degrees): 3.0103 3.0103 5.9500 90.00 90.00 90.00
Last column: nearest neighbours and their distance in Å.
Element x y z (fractional)
Li1 0.0000 0.0000 0.0000  4 Ir 2.48, 4 Tc 2.58
Tc1 0.0000 0.0000 0.4897  4 Tc 2.58, 4 Ir 2.76
Tc2 0.5000 0.5000 0.2440  4 Li 2.58, 4 Tc 2.58, 1 Ir 2.73
Ir1 0.5000 0.5000 0.7854  4 Li 2.48, 5 Tc 2.73-2.76

No. 5
A plane-wave DFT calculation with PBE was carried out for Li2TcIr2 after structural relaxation.

* spin magnetization: 0.0 μB/f.u.
* density of states at the Fermi level: 2.5 states/eV/f.u.
* DFT total energy: -6.208 eV/atom

Lattice parameters (Å, degrees): 2.9016 2.9016 15.5864 90.00 90.00 90.00
Last column: nearest neighbours and their distance in Å.
Element x y z (fractional)
Li1 0.0000 0.5000 0.2500  4 Li 2.05
Li2 0.0000 0.5000 0.7500  4 Li 2.05
Li3 0.5000 0.0000 0.2500  4 Li 2.05
Li4 0.5000 0.0000 0.7500  4 Li 2.05
Tc1 0.0000 0.0000 0.0000  8 Ir 2.67, 4 Tc 2.90
Tc2 0.5000 0.5000 0.5000  8 Ir 2.67, 4 Tc 2.90
Ir1 0.0000 0.0000 0.3903  4 Li 2.62, 4 Tc 2.67, 4 Ir 2.90
Ir2 0.0000 0.0000 0.6097  4 Li 2.62, 4 Tc 2.67, 4 Ir 2.90
Ir3 0.5000 0.5000 0.1097  4 Li 2.62, 4 Tc 2.67, 4 Ir 2.90
Ir4 0.5000 0.5000 0.8903  4 Li 2.62, 4 Tc 2.67, 4 Ir 2.90

No. 6
A plane-wave DFT calculation with PBE was carried out for LiTc2Ir after structural relaxation.

* spin magnetization: 0.0 μB/f.u.
* density of states at the Fermi level: 3.3 states/eV/f.u.
* DFT total energy: -7.764 eV/atom

Lattice parameters (Å, degrees): 2.7218 2.7218 7.5803 90.00 90.00 90.00
Last column: nearest neighbours and their distance in Å.
Element x y z (fractional)
Li1 0.0000 0.0000 0.0000  4 Ir 2.62, 4 Li 2.72, 4 Tc 2.75
Tc1 0.0000 0.0000 0.5254  4 Ir 2.65, 8 Tc 2.72-2.78
Tc2 0.5000 0.5000 0.2600  8 Tc 2.72-2.78, 4 Li 2.75
Ir1 0.5000 0.5000 0.7651  4 Li 2.62, 4 Tc 2.65, 4 Ir 2.72

No. 7
A plane-wave DFT calculation with PBE was carried out for LiVTc2Ir after structural relaxation.

* spin magnetization: 1.8 μB/f.u.
* density of states at the Fermi level: 4.3 states/eV/f.u.
* DFT total energy: -7.057 eV/atom

Lattice parameters (Å, degrees): 4.4747 4.4747 4.5947 90.00 90.00 90.00
Last column: nearest neighbours and their distance in Å.
Element x y z (fractional)
Li1 0.0000 0.0000 0.0000  4 Ir 3.16, 8 Tc 3.21
V1 0.5000 0.5000 0.5000  4 Tc 2.24, 2 Ir 2.30
Tc1 0.0000 0.5000 0.5000  2 V 2.24
Tc2 0.5000 0.0000 0.5000  2 V 2.24
Ir1 0.5000 0.5000 0.0000  2 V 2.30

No. 8
A plane-wave DFT calculation with PBE was carried out for LiTcIrW after structural relaxation.

* spin magnetization: 0.0 μB/f.u.
* density of states at the Fermi level: 3.1 states/eV/f.u.
* DFT total energy: -8.637 eV/atom

Lattice parameters (Å, degrees): 6.0981 6.0981 6.0981 90.00 90.00 90.00
Last column: nearest neighbours and their distance in Å.
Element x y z (fractional)
Li1 0.0000 0.0000 0.0000  4 Tc 2.64, 4 Ir 2.64
Li2 0.0000 0.5000 0.5000  4 Tc 2.64, 4 Ir 2.64
Li3 0.5000 0.0000 0.5000  4 Tc 2.64, 4 Ir 2.64
Li4 0.5000 0.5000 0.0000  4 Tc 2.64, 4 Ir 2.64
Tc1 0.2500 0.2500 0.2500  4 W 2.64, 4 Li 2.64
Tc2 0.2500 0.7500 0.7500  4 W 2.64, 4 Li 2.64
Tc3 0.7500 0.2500 0.7500  4 W 2.64, 4 Li 2.64
Tc4 0.7500 0.7500 0.2500  4 W 2.64, 4 Li 2.64
Ir1 0.2500 0.2500 0.7500  4 W 2.64, 4 Li 2.64
Ir2 0.2500 0.7500 0.2500  4 W 2.64, 4 Li 2.64
Ir3 0.7500 0.2500 0.2500  4 W 2.64, 4 Li 2.64
Ir4 0.7500 0.7500 0.7500  4 W 2.64, 4 Li 2.64
W1 0.0000 0.0000 0.5000  4 Ir 2.64, 4 Tc 2.64
W2 0.0000 0.5000 0.0000  4 Ir 2.64, 4 Tc 2.64
W3 0.5000 0.0000 0.0000  4 Ir 2.64, 4 Tc 2.64
W4 0.5000 0.5000 0.5000  4 Ir 2.64, 4 Tc 2.64

No. 9
A plane-wave DFT calculation with PBE was carried out for LiZn2TcIr after structural relaxation.

* spin magnetization: 1.8 μB/f.u.
* density of states at the Fermi level: 4.2 states/eV/f.u.
* DFT total energy: -4.107 eV/atom

Lattice parameters (Å, degrees): 4.8332 4.8332 4.7568 90.00 90.00 90.00
Last column: nearest neighbours and their distance in Å.
Element x y z (fractional)
Li1 0.0000 0.0000 0.0000  8 Zn 3.39, 4 Tc 3.42
Zn1 0.0000 0.5000 0.5000  2 Ir 2.42
Zn2 0.5000 0.0000 0.5000  2 Ir 2.42
Tc1 0.5000 0.5000 0.0000  2 Ir 2.38
Ir1 0.5000 0.5000 0.5000  2 Tc 2.38, 4 Zn 2.42

No. 10
A plane-wave DFT calculation with PBE was carried out for LiTe2Ir after structural relaxation.

* spin magnetization: 0.0 μB/f.u.
* raw formation energy: -407 meV/atom
* density of states at the Fermi level: 0.0 states/eV/f.u.
* DFT total energy: -4.672 eV/atom

Lattice parameters (Å, degrees): 4.0547 4.0547 19.8410 90.00 90.00 120.00
Last column: nearest neighbours and their distance in Å.
Element x y z (fractional)
Li1 0.0000 0.0000 0.0000  6 Te 3.06
Li2 0.3333 0.6667 0.6667  6 Te 3.06
Li3 0.6667 0.3333 0.3333  6 Te 3.06
Te1 0.0000 0.0000 0.2344  3 Ir 2.70
Te2 0.0000 0.0000 0.7656  3 Ir 2.70
Te3 0.3333 0.6667 0.4323  3 Ir 2.70
Te4 0.3333 0.6667 0.9010  3 Ir 2.70
Te5 0.6667 0.3333 0.0990  3 Ir 2.70
Te6 0.6667 0.3333 0.5677  3 Ir 2.70
Ir1 0.0000 0.0000 0.5000  6 Te 2.70
Ir2 0.3333 0.6667 0.1667  6 Te 2.70
Ir3 0.6667 0.3333 0.8333  6 Te 2.70

No. 11
A plane-wave DFT calculation with PBE was carried out for LiTe2Ir after structural relaxation.

* spin magnetization: 0.0 μB/f.u.
* raw formation energy: 72 meV/atom
* density of states at the Fermi level: 2.7 states/eV/f.u.
* DFT total energy: -4.192 eV/atom

Lattice parameters (Å, degrees): 3.2183 3.2183 31.5540 90.00 90.00 120.00
Last column: nearest neighbours and their distance in Å.
Element x y z (fractional)
Li1 0.0000 0.0000 0.0000  3 Ir 2.85, 3 Te 3.04
Li2 0.3333 0.6667 0.6667  3 Ir 2.85, 3 Te 3.04
Li3 0.6667 0.3333 0.3333  3 Ir 2.85, 3 Te 3.04
Te1 0.0000 0.0000 0.5392  3 Ir 2.63
Te2 0.0000 0.0000 0.7429  3 Li 3.04, 6 Te 3.22
Te3 0.3333 0.6667 0.2058  3 Ir 2.63
Te4 0.3333 0.6667 0.4095  3 Li 3.04, 6 Te 3.22
Te5 0.6667 0.3333 0.0762  3 Li 3.04, 6 Te 3.22
Te6 0.6667 0.3333 0.8725  3 Ir 2.63
Ir1 0.0000 0.0000 0.2649  3 Te 2.63, 3 Li 2.85
Ir2 0.3333 0.6667 0.9316  3 Te 2.63, 3 Li 2.85
Ir3 0.6667 0.3333 0.5983  3 Te 2.63, 3 Li 2.85

No. 12
A plane-wave DFT calculation with PBE was carried out for LiTeIr2 after structural relaxation.

* spin magnetization: 0.0 μB/f.u.
* raw formation energy: 98 meV/atom
* density of states at the Fermi level: 2.8 states/eV/f.u.
* DFT total energy: -5.596 eV/atom

Lattice parameters (Å, degrees): 2.8925 4.5690 5.2484 90.00 102.58 90.00
Last column: nearest neighbours and their distance in Å.
Element x y z (fractional)
Li1 0.0000 0.0000 0.0000  4 Ir 2.65, 2 Te 2.71, 2 Li 2.89
Te1 0.5000 0.0000 0.5000  2 Li 2.71, 4 Ir 2.72, 2 Te 2.89
Ir1 0.3507 0.5000 0.2132  2 Ir 2.57-2.67, 2 Li 2.65, 2 Te 2.72
Ir2 0.6493 0.5000 0.7868  2 Ir 2.57-2.67, 2 Li 2.65, 2 Te 2.72

No. 13
A plane-wave DFT calculation with PBE was carried out for LiTeIr2 after structural relaxation.

* spin magnetization: 0.0 μB/f.u.
* raw formation energy: 488 meV/atom
* density of states at the Fermi level: 4.5 states/eV/f.u.
* DFT total energy: -5.206 eV/atom

Lattice parameters (Å, degrees): 2.9482 4.9387 9.1954 90.00 90.00 90.00
Last column: nearest neighbours and their distance in Å.
Element x y z (fractional)
Li1 0.0000 0.0000 0.0000  4 Ir 2.62, 4 Li 2.88
Li2 0.5000 0.5000 0.0000  4 Ir 2.62, 4 Li 2.88
Te1 0.0000 0.0000 0.5000  4 Ir 2.84, 6 Te 2.88-2.95
Te2 0.5000 0.5000 0.5000  4 Ir 2.84, 6 Te 2.88-2.95
Ir1 0.0000 0.5000 0.2362  2 Li 2.62, 2 Te 2.84, 4 Ir 2.88
Ir2 0.0000 0.5000 0.7638  2 Li 2.62, 2 Te 2.84, 4 Ir 2.88
Ir3 0.5000 0.0000 0.2362  2 Li 2.62, 2 Te 2.84, 4 Ir 2.88
Ir4 0.5000 0.0000 0.7638  2 Li 2.62, 2 Te 2.84, 4 Ir 2.88

No. 14
A plane-wave DFT calculation with PBE was carried out for LiTeIr2 after structural relaxation.

* spin magnetization: 0.8 μB/f.u.
* raw formation energy: 347 meV/atom
* density of states at the Fermi level: 4.5 states/eV/f.u.
* DFT total energy: -5.347 eV/atom

Lattice parameters (Å, degrees): 3.0057 3.0057 26.4386 90.00 90.00 120.00
Last column: nearest neighbours and their distance in Å.
Element x y z (fractional)
Li1 0.0000 0.0000 0.0000  3 Ir 2.67
Li2 0.3333 0.6667 0.6667  3 Ir 2.67
Li3 0.6667 0.3333 0.3333  3 Ir 2.67
Te1 0.0000 0.0000 0.2377  3 Ir 2.77, 6 Te 3.01, 3 Li 3.07
Te2 0.3333 0.6667 0.9044  3 Ir 2.77, 6 Te 3.01, 3 Li 3.07
Te3 0.6667 0.3333 0.5710  3 Ir 2.77, 6 Te 3.01, 3 Li 3.07
Ir1 0.0000 0.0000 0.4892  9 Ir 2.71-3.01, 3 Te 2.77
Ir2 0.0000 0.0000 0.7436  3 Li 2.67, 3 Ir 2.71
Ir3 0.3333 0.6667 0.1558  9 Ir 2.71-3.01, 3 Te 2.77
Ir4 0.3333 0.6667 0.4103  3 Li 2.67, 3 Ir 2.71
Ir5 0.6667 0.3333 0.0770  3 Li 2.67, 3 Ir 2.71
Ir6 0.6667 0.3333 0.8225  9 Ir 2.71-3.01, 3 Te 2.77

No. 15
A plane-wave DFT calculation with PBE was carried out for LiTe2Ir after structural relaxation.

* spin magnetization: 0.0 μB/f.u.
* raw formation energy: 53 meV/atom
* density of states at the Fermi level: 2.7 states/eV/f.u.
* DFT total energy: -4.211 eV/atom

Lattice parameters (Å, degrees): 4.2226 5.3347 7.6204 90.00 90.00 90.00
Last column: nearest neighbours and their distance in Å.
Element x y z (fractional)
Li1 0.0000 0.0000 0.0000  4 Te 2.96
Li2 0.5000 0.5000 0.0000  4 Te 2.96
Te1 0.0000 0.5000 0.2729  2 Ir 2.73, 2 Li 2.96
Te2 0.0000 0.5000 0.7271  2 Ir 2.73, 2 Li 2.96
Te3 0.5000 0.0000 0.2729  2 Ir 2.73, 2 Li 2.96
Te4 0.5000 0.0000 0.7271  2 Ir 2.73, 2 Li 2.96
Ir1 0.0000 0.0000 0.5000  4 Te 2.73
Ir2 0.5000 0.5000 0.5000  4 Te 2.73